# 1
GGA-PBE Bi2SbPb2, optimized geometry; formation energy without anion corrections = 4.85 kcal/mol of atoms; V = 333 Å³ per cell; M_tot = 0.00 μB per formula unit; energy = -3.65 eV per atom
1.0
4.419 0.000 0.000
0.000 4.419 0.000
0.000 0.000 17.045
Bi Sb Pb
4 2 4
direct
0.000 0.000 0.093
0.000 0.000 0.907
0.500 0.500 0.407
0.500 0.500 0.593
0.000 0.000 0.500
0.500 0.500 0.000
0.000 0.500 0.250
0.000 0.500 0.750
0.500 0.000 0.250
0.500 0.000 0.750


# 2
GGA-PBE BiSb2Pb, optimized geometry; formation energy without anion corrections = 3.55 kcal/mol of atoms; V = 120 Å³ per cell; M_tot = 0.00 μB per formula unit; energy = -3.80 eV per atom
1.0
5.857 0.000 0.000
0.000 5.857 0.000
0.000 0.000 3.495
Bi Sb Pb
1 2 1
direct
0.000 0.000 0.000
0.000 0.500 0.500
0.500 0.000 0.500
0.500 0.500 0.000


# 3
GGA-PBE Bi5Sb3Pb12, optimized geometry; formation energy without anion corrections = 3.60 kcal/mol of atoms; V = 3235 Å³ per cell; M_tot = 0.00 μB per formula unit; energy = -3.66 eV per atom
1.0
-9.317 9.317 9.317
9.317 -9.317 9.317
9.317 9.317 -9.317
Bi Sb Pb
20 12 48
direct
0.000 0.000 0.000
0.000 0.000 0.500
0.000 0.500 0.000
0.000 0.500 0.500
0.125 0.750 0.875
0.125 0.875 0.250
0.250 0.125 0.875
0.250 0.625 0.375
0.375 0.250 0.625
0.375 0.625 0.750
0.500 0.000 0.000
0.500 0.000 0.500
0.500 0.500 0.000
0.500 0.500 0.500
0.625 0.375 0.250
0.625 0.750 0.375
0.750 0.375 0.625
0.750 0.875 0.125
0.875 0.125 0.750
0.875 0.250 0.125
0.125 0.250 0.375
0.125 0.375 0.750
0.250 0.375 0.125
0.250 0.875 0.625
0.375 0.125 0.250
0.375 0.750 0.125
0.625 0.250 0.875
0.625 0.875 0.750
0.750 0.125 0.375
0.750 0.625 0.875
0.875 0.625 0.250
0.875 0.750 0.625
0.066 0.228 0.148
0.066 0.337 0.917
0.080 0.728 0.663
0.080 0.852 0.417
0.083 0.648 0.420
0.083 0.934 0.663
0.148 0.066 0.228
0.148 0.583 0.920
0.163 0.228 0.580
0.163 0.434 0.583
0.228 0.148 0.066
0.228 0.580 0.163
0.272 0.337 0.920
0.272 0.434 0.352
0.337 0.917 0.066
0.337 0.920 0.272
0.352 0.272 0.434
0.352 0.580 0.917
0.417 0.080 0.852
0.417 0.837 0.566
0.420 0.083 0.648
0.420 0.837 0.772
0.434 0.352 0.272
0.434 0.583 0.163
0.566 0.417 0.837
0.566 0.648 0.728
0.580 0.163 0.228
0.580 0.917 0.352
0.583 0.163 0.434
0.583 0.920 0.148
0.648 0.420 0.083
0.648 0.728 0.566
0.663 0.080 0.728
0.663 0.083 0.934
0.728 0.566 0.648
0.728 0.663 0.080
0.772 0.420 0.837
0.772 0.852 0.934
0.837 0.566 0.417
0.837 0.772 0.420
0.852 0.417 0.080
0.852 0.934 0.772
0.917 0.066 0.337
0.917 0.352 0.580
0.920 0.148 0.583
0.920 0.272 0.337
0.934 0.663 0.083
0.934 0.772 0.852


# 4
GGA-PBE Bi3SbPb4, optimized geometry; formation energy without anion corrections = 2.29 kcal/mol of atoms; V = 544 Å³ per cell; M_tot = 0.00 μB per formula unit; energy = -3.73 eV per atom
1.0
15.598 0.000 0.000
0.000 4.663 0.000
-0.788 0.000 7.475
Bi Sb Pb
6 2 8
direct
0.000 0.000 0.000
0.249 0.500 0.251
0.251 0.000 0.749
0.500 0.500 0.000
0.749 0.000 0.251
0.751 0.500 0.749
0.000 0.500 0.500
0.500 0.000 0.500
0.120 0.000 0.380
0.124 0.500 0.865
0.376 0.000 0.135
0.380 0.500 0.620
0.620 0.500 0.380
0.624 0.000 0.865
0.876 0.500 0.135
0.880 0.000 0.620